VASP calculation (PBE) on a geometry-optimized BaLi8Mg3 structure.

```
BaLi8Mg3
1.0
-0.316 4.826 3.179
-3.355 -0.610 -4.677
-6.867 -4.041 5.452
Ba Li Mg
1 8 3
direct
0.000 0.000 0.564
0.333 0.667 0.495
0.333 0.667 0.996
0.504 0.009 0.778
0.504 0.496 0.778
0.991 0.496 0.778
0.167 0.334 0.232
0.167 0.833 0.232
0.666 0.833 0.232
0.667 0.333 0.394
0.667 0.333 0.062
0.000 0.000 0.960
```

Magnetic moment: 0.000 μB/atom
DFT formation energy: 10 meV per atom
Volume: 280.1 Å³/cell